Compound: Mg2CuHg
Source: the Alexandria database
Functional: GGA-PBE
Structure: optimized geometry

Cell: 10.371 3.341 4.662 Å, 90.00 112.07 90.00°
Space group Cm (No. 8)
Unique sites:
1 Mg 0.000 0.000 0.000 [2 per cell]
2 Mg 0.218 0.000 0.685 [2 per cell]
3 Cu 0.229 0.500 0.182 [2 per cell]
4 Hg 0.453 0.000 0.457 [2 per cell]

Calculated values
Total DFT energy (no corrections) ... -15.816 eV/cell
Density of states at the Fermi level ... 0.28 states/eV/atom
DFT formation energy ... -80 meV per atom



Compound: Mg8CuHg2
Source: the Alexandria database
Functional: GGA-PBE
Structure: optimized geometry

Cell: 15.997 4.743 6.599 Å, 90.00 112.55 90.00°
Space group C2/m (No. 12)
Unique sites:
1 Mg 0.017 0.000 0.285 [4 per cell]
2 Mg 0.101 0.500 0.924 [4 per cell]
3 Mg 0.154 0.500 0.430 [4 per cell]
4 Mg 0.190 0.000 0.756 [4 per cell]
5 Cu 0.000 0.500 0.500 [2 per cell]
6 Hg 0.180 0.000 0.185 [4 per cell]

Calculated values
Total DFT energy (no corrections) ... -37.427 eV/cell
Density of states at the Fermi level ... 0.36 states/eV/atom
DFT formation energy ... -114 meV per atom



Compound: MgCu2Hg
Source: the Alexandria database
Functional: GGA-PBE
Structure: optimized geometry

Cell: 7.277 7.277 5.410 Å, 90.00 90.00 90.00°
Space group I-42d (No. 122)
Unique sites:
1 Mg 0.000 0.000 0.000 [4 per cell]
2 Cu 0.247 0.750 0.625 [8 per cell]
3 Hg 0.000 0.000 0.500 [4 per cell]

Calculated values
Total DFT energy (no corrections) ... -36.585 eV/cell
Density of states at the Fermi level ... 0.30 states/eV/atom
DFT formation energy ... 236 meV per atom



Compound: Mg2CuHg
Source: the Alexandria database
Functional: GGA-PBE
Structure: optimized geometry

Cell: 7.527 7.527 5.828 Å, 90.00 90.00 90.00°
Space group I-42d (No. 122)
Unique sites:
1 Mg 0.221 0.250 0.125 [8 per cell]
2 Cu 0.000 0.000 0.000 [4 per cell]
3 Hg 0.000 0.000 0.500 [4 per cell]

Calculated values
Total DFT energy (no corrections) ... -28.539 eV/cell
Density of states at the Fermi level ... 0.36 states/eV/atom
DFT formation energy ... 113 meV per atom